--- a ---
Y3PuAl8 | PBE | relaxed Values from VASP.

Cell and atoms, written as Quantum ESPRESSO input:
```
&SYSTEM
  ibrav = 0, nat = 12, ntyp = 3
/
ATOMIC_SPECIES
Y 88.91 Y.upf
Pu 244.00 Pu.upf
Al 26.98 Al.upf
CELL_PARAMETERS angstrom
5.565 0.000 0.000
-2.783 4.820 0.000
0.000 0.000 9.100
ATOMIC_POSITIONS crystal
Y 0.667 0.333 0.437
Y 0.667 0.333 0.066
Y 0.000 0.000 0.925
Pu 0.000 0.000 0.569
Al 0.333 0.667 0.501
Al 0.333 0.667 0.003
Al 0.504 0.009 0.751
Al 0.504 0.496 0.751
Al 0.991 0.496 0.751
Al 0.162 0.324 0.249
Al 0.162 0.838 0.249
Al 0.676 0.838 0.249
```

Computed properties:
- D(E_F): 17.9 states/eV/cell
- Space group: P3m1


--- b ---
Y3PuAl8 | PBE | relaxed Values from VASP.

Cell and atoms, written as Quantum ESPRESSO input:
```
&SYSTEM
  ibrav = 0, nat = 12, ntyp = 3
/
ATOMIC_SPECIES
Y 88.91 Y.upf
Pu 244.00 Pu.upf
Al 26.98 Al.upf
CELL_PARAMETERS angstrom
-4.331 2.661 2.253
-5.180 -1.359 -1.493
-3.480 -5.738 6.946
ATOMIC_POSITIONS crystal
Y 0.375 0.375 0.874
Y 0.998 0.998 0.006
Y 0.502 0.502 0.495
Pu 0.875 0.875 0.375
Al 0.939 0.437 0.187
Al 0.438 0.937 0.688
Al 0.437 0.437 0.187
Al 0.937 0.937 0.688
Al 0.188 0.188 0.437
Al 0.688 0.688 0.937
Al 0.437 0.939 0.187
Al 0.937 0.438 0.688
```

Computed properties:
- D(E_F): 19.6 states/eV/cell
- Space group: R3m


Least stable structure: a


--- a ---
PuAl2Zn6 | PBE | relaxed Values from VASP.

Cell and atoms, written as Quantum ESPRESSO input:
```
&SYSTEM
  ibrav = 0, nat = 18, ntyp = 3
/
ATOMIC_SPECIES
Pu 244.00 Pu.upf
Al 26.98 Al.upf
Zn 65.41 Zn.upf
CELL_PARAMETERS angstrom
-1.981 -4.069 6.963
5.926 -3.758 4.442
2.234 3.074 7.385
ATOMIC_POSITIONS crystal
Pu 0.500 0.500 0.500
Pu 0.750 0.750 0.750
Al 0.125 0.125 0.125
Al 0.125 0.625 0.125
Al 0.125 0.125 0.625
Al 0.625 0.125 0.125
Zn 0.248 0.248 0.752
Zn 0.752 0.752 0.248
Zn 0.248 0.752 0.248
Zn 0.248 0.752 0.752
Zn 0.498 0.498 0.002
Zn 0.498 0.002 0.002
Zn 0.752 0.248 0.752
Zn 0.002 0.002 0.498
Zn 0.498 0.002 0.498
Zn 0.002 0.498 0.498
Zn 0.752 0.248 0.248
Zn 0.002 0.498 0.002
```

Computed properties:
- D(E_F): 39.3 states/eV/cell
- Space group: Fd-3m


--- b ---
PuAl2Zn6 | PBE | relaxed Values from VASP.

Cell and atoms, written as Quantum ESPRESSO input:
```
&SYSTEM
  ibrav = 0, nat = 9, ntyp = 3
/
ATOMIC_SPECIES
Pu 244.00 Pu.upf
Al 26.98 Al.upf
Zn 65.41 Zn.upf
CELL_PARAMETERS angstrom
-1.108 -3.491 -1.849
6.444 -1.444 -1.135
-2.386 -0.400 6.737
ATOMIC_POSITIONS crystal
Pu 0.000 0.500 0.000
Al 0.883 0.883 0.767
Al 0.117 0.117 0.233
Zn 0.692 0.886 0.383
Zn 0.308 0.114 0.617
Zn 0.308 0.503 0.617
Zn 0.500 0.181 0.000
Zn 0.500 0.819 0.000
Zn 0.692 0.497 0.383
```

Computed properties:
- D(E_F): 11.4 states/eV/cell
- Space group: Immm


Least stable structure: a


--- a ---
PuAl3Zn | PBE | relaxed Values from VASP.

Cell and atoms, written as Quantum ESPRESSO input:
```
&SYSTEM
  ibrav = 0, nat = 10, ntyp = 3
/
ATOMIC_SPECIES
Pu 244.00 Pu.upf
Al 26.98 Al.upf
Zn 65.41 Zn.upf
CELL_PARAMETERS angstrom
-2.637 -1.973 4.719
-3.393 -3.324 -3.285
3.701 -4.273 0.501
ATOMIC_POSITIONS crystal
Pu 0.655 0.750 0.340
Pu 0.345 0.250 0.660
Al 0.832 0.003 0.843
Al 0.168 0.997 0.157
Al 0.832 0.497 0.843
Al 0.168 0.503 0.157
Al 0.139 0.750 0.558
Al 0.861 0.250 0.442
Zn 0.452 0.750 0.855
Zn 0.548 0.250 0.145
```

Computed properties:
- D(E_F): 20.3 states/eV/cell
- Space group: P2_1/m


--- b ---
PuAl3Zn | PBE | relaxed Values from VASP.

Cell and atoms, written as Quantum ESPRESSO input:
```
&SYSTEM
  ibrav = 0, nat = 5, ntyp = 3
/
ATOMIC_SPECIES
Pu 244.00 Pu.upf
Al 26.98 Al.upf
Zn 65.41 Zn.upf
CELL_PARAMETERS angstrom
-1.490 1.621 -3.537
-0.219 -3.817 -1.657
-6.015 -1.638 -0.672
ATOMIC_POSITIONS crystal
Pu 0.398 0.202 0.909
Al 0.649 0.952 0.408
Al 0.149 0.452 0.408
Al 0.797 0.600 0.112
Zn 0.015 0.818 0.675
```

Computed properties:
- D(E_F): 9.8 states/eV/cell
- Space group: I4mm


Least stable structure: a